1.
Crystalline Y3GeAs at its relaxed geometry. Source: Alexandria via LeMat-Bulk, functional GGA-PBE.

```
Y3GeAs
1.0
5.318 0.000 0.000
0.000 5.318 0.000
0.000 0.000 5.318
Y Ge As
3 1 1
Direct
0.000 0.000 0.500
0.000 0.500 0.000
0.500 0.000 0.000
0.500 0.500 0.500
0.000 0.000 0.000
```

- energy of formation from the pure elements (eV/f.u.) = -2.20
- mass density (g cm⁻³) = 4.6
- electronic total energy (eV/atom) = -6.17
- distance to the lowest polymorph of the same formula (meV per atom) = 0

---

2.
Crystalline AcInSb at its relaxed geometry. Source: Alexandria via LeMat-Bulk, functional GGA-PBE.

```
AcInSb
1.0
4.427 0.000 0.000
2.213 6.126 0.000
0.006 2.266 7.603
Ac In Sb
2 2 2
Direct
0.153 0.193 0.188
0.847 0.807 0.812
0.120 0.261 0.612
0.880 0.739 0.388
0.425 0.649 0.163
0.575 0.351 0.837
```

- mass density (g cm⁻³) = 7.5
- formation energy (no corrections) (eV/atom) = -0.64
- electronic total energy (eV/atom) = -4.29
- distance to the lowest polymorph of the same formula (meV per atom) = 0

---

3.
Crystalline Pm5SmTl6 at its relaxed geometry. Source: Alexandria via LeMat-Bulk, functional GGA-PBE.

```
Pm5SmTl6
1.0
2.752 -8.263 0.000
2.752 8.263 0.000
0.000 0.000 7.695
Pm Sm Tl
5 1 6
Direct
0.000 0.000 0.000
0.333 0.667 0.000
0.333 0.667 0.500
0.667 0.333 0.000
0.667 0.333 0.500
0.000 0.000 0.500
0.166 0.834 0.251
0.166 0.834 0.749
0.500 0.500 0.251
0.500 0.500 0.749
0.834 0.166 0.251
0.834 0.166 0.749
```

- energy of formation from the pure elements (eV/f.u.) = -4.64
- mass density (g cm⁻³) = 10.0
- electronic total energy (eV/atom) = -3.94

---

4.
Crystalline DyY4Co2 at its relaxed geometry. Source: Alexandria via LeMat-Bulk, functional GGA-PBE.

```
DyY4Co2
1.0
7.042 0.000 0.000
0.000 6.437 0.000
-3.355 0.000 7.979
Dy Y Co
2 8 4
Direct
0.017 0.250 0.283
0.983 0.750 0.717
0.230 0.250 0.707
0.291 0.001 0.075
0.291 0.499 0.075
0.326 0.750 0.496
0.674 0.250 0.504
0.709 0.501 0.925
0.709 0.999 0.925
0.770 0.750 0.293
0.029 0.750 0.149
0.370 0.750 0.834
0.630 0.250 0.166
0.971 0.250 0.851
```

- energy of formation from the pure elements (eV/f.u.) = -0.43
- mass density (g cm⁻³) = 5.8
- electronic total energy (eV/atom) = -6.44

---

5.
Crystalline YPbBr2 at its relaxed geometry. Source: Alexandria via LeMat-Bulk, functional GGA-PBE.

```
YPbBr2
1.0
4.405 0.000 0.000
0.000 4.405 0.000
0.000 0.000 11.672
Y Pb Br
2 2 4
Direct
0.000 0.000 0.000
0.500 0.500 0.500
0.000 0.500 0.250
0.500 0.000 0.750
0.000 0.000 0.500
0.000 0.500 0.750
0.500 0.000 0.250
0.500 0.500 0.000
```

- mass density (g cm⁻³) = 6.7
- formation energy (no corrections) (eV/atom) = -0.64
- electronic total energy (eV/atom) = -4.01
- distance to the lowest polymorph of the same formula (meV per atom) = 390

---

6.
Crystalline Rb2MgCd at its relaxed geometry. Source: Alexandria via LeMat-Bulk, functional GGA-PBE.

```
Rb2MgCd
1.0
9.175 0.000 0.000
0.000 9.175 0.000
0.000 0.000 9.175
Rb Mg Cd
8 4 4
Direct
0.250 0.250 0.250
0.250 0.250 0.750
0.250 0.750 0.250
0.250 0.750 0.750
0.750 0.250 0.250
0.750 0.250 0.750
0.750 0.750 0.250
0.750 0.750 0.750
0.000 0.000 0.000
0.000 0.500 0.500
0.500 0.000 0.500
0.500 0.500 0.000
0.000 0.000 0.500
0.000 0.500 0.000
0.500 0.000 0.000
0.500 0.500 0.500
```

- energy of formation from the pure elements (eV/f.u.) = 0.72
- mass density (g cm⁻³) = 2.6
- electronic total energy (eV/atom) = -0.93
- distance to the lowest polymorph of the same formula (meV per atom) = 0

---

7.
Crystalline Rb2Ca3ZnF12 at its relaxed geometry. Source: Alexandria via LeMat-Bulk, functional GGA-PBE.

```
Rb2Ca3ZnF12
1.0
3.945 2.278 6.521
-3.945 2.278 6.521
0.000 -4.556 6.521
Rb Ca Zn F
2 3 1 12
Direct
0.117 0.117 0.117
0.883 0.883 0.883
0.000 0.500 0.500
0.500 0.000 0.500
0.500 0.500 0.000
0.500 0.500 0.500
0.155 0.155 0.575
0.155 0.575 0.155
0.210 0.561 0.561
0.425 0.845 0.845
0.439 0.439 0.790
0.439 0.790 0.439
0.561 0.210 0.561
0.561 0.561 0.210
0.575 0.155 0.155
0.790 0.439 0.439
0.845 0.425 0.845
0.845 0.845 0.425
```

- mass density (g cm⁻³) = 2.8
- formation energy (no corrections) (eV/atom) = -2.91
- electronic total energy (eV/atom) = -4.67

---

8.
Crystalline TlFe3Cl at its relaxed geometry. Source: Alexandria via LeMat-Bulk, functional GGA-PBE.

```
TlFe3Cl
1.0
5.074 0.000 0.000
0.000 5.074 0.000
0.000 0.000 5.074
Tl Fe Cl
1 3 1
Direct
0.000 0.000 0.000
0.000 0.000 0.500
0.000 0.500 0.000
0.500 0.000 0.000
0.500 0.500 0.500
```

- mass density (g cm⁻³) = 5.2
- formation energy (no corrections) (eV/atom) = 1.54
- electronic total energy (eV/atom) = -4.38
- distance to the lowest polymorph of the same formula (meV per atom) = 786

---

9.
Crystalline Na2Ho2Tl7 at its relaxed geometry. Source: Alexandria via LeMat-Bulk, functional GGA-PBE.

```
Na2Ho2Tl7
1.0
3.356 -5.944 0.000
3.356 5.944 0.000
0.000 0.000 8.547
Na Ho Tl
2 2 7
Direct
0.239 0.239 0.000
0.761 0.761 0.000
0.265 0.735 0.500
0.735 0.265 0.500
0.000 0.000 0.500
0.000 0.500 0.181
0.000 0.500 0.819
0.500 0.000 0.181
0.500 0.000 0.819
0.500 0.500 0.312
0.500 0.500 0.688
```

- energy of formation from the pure elements (eV/f.u.) = 0.04
- mass density (g cm⁻³) = 8.8
- electronic total energy (eV/atom) = -2.57

---

10.
Crystalline TmZn4Ni at its relaxed geometry. Source: Alexandria via LeMat-Bulk, functional GGA-PBE.

```
TmZn4Ni
1.0
0.000 3.625 3.625
3.625 0.000 3.625
3.625 3.625 0.000
Tm Zn Ni
1 4 1
Direct
0.000 0.000 0.000
0.128 0.624 0.624
0.624 0.128 0.624
0.624 0.624 0.128
0.624 0.624 0.624
0.250 0.250 0.250
```

- energy of formation from the pure elements (eV/f.u.) = -1.13
- mass density (g cm⁻³) = 8.5
- electronic total energy (eV/atom) = -2.75
- distance to the lowest polymorph of the same formula (meV per atom) = 120

---

11.
Crystalline CaZn6Cd2 at its relaxed geometry. Source: Alexandria via LeMat-Bulk, functional GGA-PBE.

```
CaZn6Cd2
1.0
-2.036 3.507 6.323
2.036 -3.507 6.323
2.036 3.507 -6.323
Ca Zn Cd
1 6 2
Direct
0.000 0.000 0.000
0.010 0.315 0.695
0.320 0.500 0.820
0.380 0.685 0.695
0.620 0.315 0.305
0.680 0.500 0.180
0.990 0.685 0.305
0.374 0.874 0.500
0.626 0.126 0.500
```

- energy of formation from the pure elements (eV/f.u.) = -0.48
- mass density (g cm⁻³) = 6.0
- electronic total energy (eV/atom) = -1.33

---

12.
Crystalline SnGeH at its relaxed geometry. Source: Alexandria via LeMat-Bulk, functional GGA-PBE.

```
SnGeH
1.0
4.095 0.000 0.000
0.000 4.095 0.000
0.000 0.000 6.750
Sn Ge H
2 2 2
Direct
0.000 0.000 0.000
0.500 0.500 0.500
0.000 0.000 0.456
0.500 0.500 0.956
0.000 0.000 0.707
0.500 0.500 0.207
```

- mass density (g cm⁻³) = 5.6
- electronic total energy (eV/atom) = -3.72
- distance to the lowest polymorph of the same formula (meV per atom) = 0